[1]
DFT (PBE-GGA) results for a relaxed Th3SbTe3 crystal.

a b c (Å): 7.8371 7.8371 8.2661
angles (deg): 91.71 91.71 110.11
Element x y z (fractional)
Th (0.0442, 0.0442, 0.2089)
Th (0.1919, 0.4979, 0.6764)
Th (0.4979, 0.1919, 0.6764)
Th (0.5021, 0.8081, 0.3236)
Th (0.8081, 0.5021, 0.3236)
Th (0.9558, 0.9558, 0.7911)
Sb (0.2851, 0.2851, 0.9455)
Sb (0.7149, 0.7149, 0.0545)
Te (0.1589, 0.8411, 0.5000)
Te (0.2231, 0.7769, 0.0000)
Te (0.3672, 0.3672, 0.3615)
Te (0.6328, 0.6328, 0.6385)
Te (0.7769, 0.2231, 0.0000)
Te (0.8411, 0.1589, 0.5000)

Computed properties:
Calculated total energy (eV/atom): -5.9034
Offset from the most stable computed form (meV per atom): 272
Raw formation energy (meV/atom): -788.1

***

[2]
DFT (PBE-GGA) results for a relaxed HfTiTc3 crystal.

a b c (Å): 4.5105 4.5105 4.5105
angles (deg): 90.00 90.00 90.00
Element x y z (fractional)
Hf (0.0000, 0.0000, 0.0000)
Ti (0.5000, 0.5000, 0.5000)
Tc (0.0000, 0.5000, 0.5000)
Tc (0.5000, 0.0000, 0.5000)
Tc (0.5000, 0.5000, 0.0000)

Computed properties:
Energy of formation from the pure elements (eV/atom): 0.8181
Calculated total energy (eV/atom): -8.9711
Offset from the most stable computed form (meV per atom): 0

***

[3]
DFT (PBE-GGA) results for a relaxed Pu2ZnCu4Si3 crystal.

a b c (Å): 4.0621 4.0621 9.8860
angles (deg): 90.00 90.00 90.00
Element x y z (fractional)
Pu (0.0000, 0.5000, 0.2437)
Pu (0.5000, 0.0000, 0.7563)
Zn (0.0000, 0.0000, 0.5000)
Cu (0.0000, 0.0000, 0.0000)
Cu (0.0000, 0.5000, 0.6328)
Cu (0.5000, 0.0000, 0.3672)
Cu (0.5000, 0.5000, 0.0000)
Si (0.0000, 0.5000, 0.8664)
Si (0.5000, 0.0000, 0.1336)
Si (0.5000, 0.5000, 0.5000)

Computed properties:
Calculated total energy (eV/atom): -6.5640
Raw formation energy (meV/atom): -304.8

***

What did the second record say?
DFT (PBE-GGA) results for a relaxed HfTiTc3 crystal.

a b c (Å): 4.5105 4.5105 4.5105
angles (deg): 90.00 90.00 90.00
Element x y z (fractional)
Hf (0.0000, 0.0000, 0.0000)
Ti (0.5000, 0.5000, 0.5000)
Tc (0.0000, 0.5000, 0.5000)
Tc (0.5000, 0.0000, 0.5000)
Tc (0.5000, 0.5000, 0.0000)

Computed properties:
Energy of formation from the pure elements (eV/atom): 0.8181
Calculated total energy (eV/atom): -8.9711
Offset from the most stable computed form (meV per atom): 0